{
  "formula": "HfTaFeAs",
  "functional": "PBE-GGA",
  "state": "optimized geometry",
  "magmom_total_mub_per_cell": 9.04,
  "e_above_lowest_polymorph_mev_per_atom": 0,
  "final_energy_ev_per_atom": -8.43,
  "sg": "No. 216",
  "lattice": [[6.375, 0.000, 0.000], [0.000, 6.375, 0.000], [0.000, 0.000, 6.375]],
  "species": ["Hf", "Hf", "Hf", "Hf", "Ta", "Ta", "Ta", "Ta", "Fe", "Fe", "Fe", "Fe", "As", "As", "As", "As"],
  "frac_coords": [[0.000, 0.000, 0.000], [0.000, 0.500, 0.500], [0.500, 0.000, 0.500], [0.500, 0.500, 0.000], [0.250, 0.250, 0.250], [0.250, 0.750, 0.750], [0.750, 0.250, 0.750], [0.750, 0.750, 0.250], [0.250, 0.250, 0.750], [0.250, 0.750, 0.250], [0.750, 0.250, 0.250], [0.750, 0.750, 0.750], [0.000, 0.000, 0.500], [0.000, 0.500, 0.000], [0.500, 0.000, 0.000], [0.500, 0.500, 0.500]]
}

{
  "formula": "ScAlFeCu",
  "functional": "PBE-GGA",
  "state": "optimized geometry",
  "magmom_total_mub_per_cell": 2.66,
  "e_above_lowest_polymorph_mev_per_atom": 0,
  "final_energy_ev_per_atom": -5.76,
  "sg": "No. 216",
  "lattice": [[6.084, 0.000, 0.000], [0.000, 6.084, 0.000], [0.000, 0.000, 6.084]],
  "species": ["Sc", "Sc", "Sc", "Sc", "Al", "Al", "Al", "Al", "Fe", "Fe", "Fe", "Fe", "Cu", "Cu", "Cu", "Cu"],
  "frac_coords": [[0.000, 0.000, 0.000], [0.000, 0.500, 0.500], [0.500, 0.000, 0.500], [0.500, 0.500, 0.000], [0.000, 0.000, 0.500], [0.000, 0.500, 0.000], [0.500, 0.000, 0.000], [0.500, 0.500, 0.500], [0.250, 0.250, 0.250], [0.250, 0.750, 0.750], [0.750, 0.250, 0.750], [0.750, 0.750, 0.250], [0.250, 0.250, 0.750], [0.250, 0.750, 0.250], [0.750, 0.250, 0.250], [0.750, 0.750, 0.750]]
}

{
  "formula": "LiGdSnPt",
  "functional": "PBE-GGA",
  "state": "optimized geometry",
  "magmom_total_mub_per_cell": 0.00,
  "e_above_lowest_polymorph_mev_per_atom": 270,
  "final_energy_ev_per_atom": -4.80,
  "sg": "No. 216",
  "lattice": [[6.793, 0.000, 0.000], [0.000, 6.793, 0.000], [0.000, 0.000, 6.793]],
  "species": ["Li", "Li", "Li", "Li", "Gd", "Gd", "Gd", "Gd", "Sn", "Sn", "Sn", "Sn", "Pt", "Pt", "Pt", "Pt"],
  "frac_coords": [[0.000, 0.000, 0.000], [0.000, 0.500, 0.500], [0.500, 0.000, 0.500], [0.500, 0.500, 0.000], [0.250, 0.250, 0.250], [0.250, 0.750, 0.750], [0.750, 0.250, 0.750], [0.750, 0.750, 0.250], [0.000, 0.000, 0.500], [0.000, 0.500, 0.000], [0.500, 0.000, 0.000], [0.500, 0.500, 0.500], [0.250, 0.250, 0.750], [0.250, 0.750, 0.250], [0.750, 0.250, 0.250], [0.750, 0.750, 0.750]]
}

{
  "formula": "Co6BiPd",
  "functional": "PBE-GGA",
  "state": "optimized geometry",
  "magmom_total_mub_per_cell": 10.07,
  "final_energy_ev_per_atom": -6.11,
  "sg": "No. 148",
  "lattice": [[3.203, 1.849, 3.017], [-3.203, 1.849, 3.017], [0.000, -3.699, 3.017]],
  "species": ["Co", "Co", "Co", "Co", "Co", "Co", "Bi", "Pd"],
  "frac_coords": [[0.024, 0.479, 0.260], [0.260, 0.024, 0.479], [0.479, 0.260, 0.024], [0.521, 0.740, 0.976], [0.740, 0.976, 0.521], [0.976, 0.521, 0.740], [0.000, 0.000, 0.000], [0.500, 0.500, 0.500]]
}

{
  "formula": "Nb3Pb5Au",
  "functional": "PBE-GGA",
  "state": "optimized geometry",
  "magmom_total_mub_per_cell": 0.03,
  "final_energy_ev_per_atom": -5.42,
  "sg": "No. 191",
  "lattice": [[5.818, 0.000, 0.000], [-2.909, 5.039, 0.000], [0.000, 0.000, 7.945]],
  "species": ["Nb", "Nb", "Nb", "Pb", "Pb", "Pb", "Pb", "Pb", "Au"],
  "frac_coords": [[0.000, 0.500, 0.000], [0.500, 0.000, 0.000], [0.500, 0.500, 0.000], [0.000, 0.000, 0.000], [0.333, 0.667, 0.314], [0.333, 0.667, 0.686], [0.667, 0.333, 0.314], [0.667, 0.333, 0.686], [0.000, 0.000, 0.500]]
}

{
  "formula": "HfAu",
  "functional": "PBE-GGA",
  "state": "optimized geometry",
  "magmom_total_mub_per_cell": 0.05,
  "e_form_ev_per_atom": 0.4486,
  "final_energy_ev_per_atom": -6.16,
  "sg": "No. 216",
  "lattice": [[6.086, 0.000, 0.000], [0.000, 6.086, 0.000], [0.000, 0.000, 6.086]],
  "species": ["Hf", "Hf", "Hf", "Hf", "Au", "Au", "Au", "Au"],
  "frac_coords": [[0.000, 0.000, 0.000], [0.000, 0.500, 0.500], [0.500, 0.000, 0.500], [0.500, 0.500, 0.000], [0.250, 0.250, 0.250], [0.250, 0.750, 0.750], [0.750, 0.250, 0.750], [0.750, 0.750, 0.250]]
}

{
  "formula": "Dy2Er5Te2Pd2",
  "functional": "PBE-GGA",
  "state": "optimized geometry",
  "magmom_total_mub_per_cell": 0.03,
  "e_above_lowest_polymorph_mev_per_atom": 2,
  "final_energy_ev_per_atom": -5.27,
  "sg": "No. 44",
  "lattice": [[-1.964, 7.846, 4.811], [1.964, -7.846, 4.811], [1.964, 7.846, -4.811]],
  "species": ["Dy", "Dy", "Er", "Er", "Er", "Er", "Er", "Te", "Te", "Pd", "Pd"],
  "frac_coords": [[0.129, 0.000, 0.129], [0.871, 0.000, 0.871], [0.111, 0.793, 0.318], [0.418, 0.418, 0.000], [0.476, 0.793, 0.682], [0.508, 0.152, 0.356], [0.796, 0.152, 0.644], [0.154, 0.654, 0.500], [0.752, 0.752, 0.000], [0.253, 0.489, 0.764], [0.725, 0.489, 0.236]]
}

{
  "formula": "HoErZn2Pt4",
  "functional": "PBE-GGA",
  "state": "optimized geometry",
  "magmom_total_mub_per_cell": 0.00,
  "e_form_ev_per_atom": -0.8767,
  "final_energy_ev_per_atom": -5.36,
  "sg": "No. 123",
  "lattice": [[4.659, 0.000, 0.000], [0.000, 4.659, 0.000], [0.000, 0.000, 6.606]],
  "species": ["Ho", "Er", "Zn", "Zn", "Pt", "Pt", "Pt", "Pt"],
  "frac_coords": [[0.000, 0.000, 0.000], [0.500, 0.500, 0.500], [0.000, 0.000, 0.500], [0.500, 0.500, 0.000], [0.000, 0.500, 0.251], [0.000, 0.500, 0.749], [0.500, 0.000, 0.251], [0.500, 0.000, 0.749]]
}

{
  "formula": "KLaSmNi2",
  "functional": "PBE-GGA",
  "state": "optimized geometry",
  "magmom_total_mub_per_cell": 0.02,
  "final_energy_ev_per_atom": -4.52,
  "sg": "No. 38",
  "lattice": [[3.810, 0.000, 0.000], [0.000, 4.021, 0.000], [0.000, 0.000, 18.815]],
  "species": ["K", "K", "La", "La", "Sm", "Sm", "Ni", "Ni", "Ni", "Ni"],
  "frac_coords": [[0.000, 0.000, 0.000], [0.000, 0.500, 0.500], [0.500, 0.000, 0.328], [0.500, 0.500, 0.828], [0.500, 0.000, 0.663], [0.500, 0.500, 0.163], [0.000, 0.000, 0.203], [0.000, 0.000, 0.781], [0.000, 0.500, 0.281], [0.000, 0.500, 0.703]]
}

{
  "formula": "TbSmBr3N",
  "functional": "PBE-GGA",
  "state": "optimized geometry",
  "magmom_total_mub_per_cell": 0.00,
  "e_above_lowest_polymorph_mev_per_atom": 0,
  "final_energy_ev_per_atom": -5.62,
  "sg": "No. 12",
  "lattice": [[9.238, -1.976, 0.000], [9.238, 1.976, 0.000], [-6.685, 0.000, 9.660]],
  "species": ["Tb", "Tb", "Sm", "Sm", "Br", "Br", "Br", "Br", "Br", "Br", "N", "N"],
  "frac_coords": [[0.074, 0.074, 0.460], [0.926, 0.926, 0.540], [0.364, 0.364, 0.215], [0.636, 0.636, 0.785], [0.167, 0.167, 0.011], [0.287, 0.287, 0.384], [0.461, 0.461, 0.748], [0.539, 0.539, 0.252], [0.713, 0.713, 0.616], [0.833, 0.833, 0.989], [0.073, 0.073, 0.651], [0.927, 0.927, 0.349]]
}

{
  "formula": "CoB2W2",
  "functional": "PBE-GGA",
  "state": "optimized geometry",
  "magmom_total_mub_per_cell": 1.75,
  "final_energy_ev_per_atom": -9.56,
  "sg": "No. 65",
  "lattice": [[3.068, 0.000, 0.000], [0.000, 10.763, 0.000], [0.000, 0.000, 3.192]],
  "species": ["Co", "Co", "B", "B", "B", "B", "W", "W", "W", "W"],
  "frac_coords": [[0.000, 0.000, 0.000], [0.500, 0.500, 0.000], [0.000, 0.202, 0.000], [0.000, 0.798, 0.000], [0.500, 0.298, 0.000], [0.500, 0.702, 0.000], [0.000, 0.364, 0.500], [0.000, 0.636, 0.500], [0.500, 0.136, 0.500], [0.500, 0.864, 0.500]]
}

{
  "formula": "Gd2Ge4IrPd",
  "functional": "PBE-GGA",
  "state": "optimized geometry",
  "magmom_total_mub_per_cell": 0.02,
  "final_energy_ev_per_atom": -5.97,
  "sg": "No. 38",
  "lattice": [[4.425, 0.000, 0.000], [0.000, 4.195, 0.000], [0.000, 0.000, 17.151]],
  "species": ["Gd", "Gd", "Gd", "Gd", "Ge", "Ge", "Ge", "Ge", "Ge", "Ge", "Ge", "Ge", "Ir", "Ir", "Pd", "Pd"],
  "frac_coords": [[0.000, 0.000, 0.000], [0.000, 0.500, 0.500], [0.500, 0.000, 0.214], [0.500, 0.500, 0.714], [0.000, 0.000, 0.361], [0.000, 0.000, 0.639], [0.000, 0.500, 0.139], [0.000, 0.500, 0.861], [0.500, 0.000, 0.569], [0.500, 0.000, 0.853], [0.500, 0.500, 0.069], [0.500, 0.500, 0.353], [0.500, 0.000, 0.429], [0.500, 0.500, 0.929], [0.000, 0.000, 0.780], [0.000, 0.500, 0.280]]
}